Entry 1:
A plane-wave DFT calculation with PBE was carried out for a relaxed CrTc2Rh crystal.

For the magnetic moment, the calculation gives 0.000 μB per formula unit. The space-group type is No. 99. As for the relative energy among the computed polymorphs: 0.015 eV per atom. Its formation energy is 0.032 eV/atom.

Structure (CIF):
```
data_CrTc2Rh
_symmetry_space_group_name_H-M 'P 1'
_symmetry_Int_Tables_number 1
_cell_length_a 2.704
_cell_length_b 2.704
_cell_length_c 7.559
_cell_angle_alpha 90.00
_cell_angle_beta 90.00
_cell_angle_gamma 90.00
loop_
_symmetry_equiv_pos_as_xyz
'x,y,z'
loop_
_atom_site_label
_atom_site_type_symbol
_atom_site_fract_x
_atom_site_fract_y
_atom_site_fract_z
_atom_site_occupancy
Tc1 Tc 0.000 0.000 0.004 1
Tc2 Tc 0.500 0.500 0.259 1
Rh1 Rh 0.500 0.500 0.736 1
Cr1 Cr 0.000 0.000 0.501 1
```

***

Entry 2:
A plane-wave DFT calculation with PBE was carried out for a relaxed La5Pm2Sm crystal.

For the magnetic moment, the calculation gives 0.000 μB per formula unit. The space-group type is No. 63. As for the relative energy among the computed polymorphs: 0.093 eV per atom. Its formation energy is 0.119 eV/atom.

Structure (CIF):
```
data_La5Pm2Sm
_symmetry_space_group_name_H-M 'P 1'
_symmetry_Int_Tables_number 1
_cell_length_a 5.876
_cell_length_b 9.049
_cell_length_c 11.723
_cell_angle_alpha 90.00
_cell_angle_beta 90.00
_cell_angle_gamma 108.95
loop_
_symmetry_equiv_pos_as_xyz
'x,y,z'
loop_
_atom_site_label
_atom_site_type_symbol
_atom_site_fract_x
_atom_site_fract_y
_atom_site_fract_z
_atom_site_occupancy
La1 La 0.954 0.907 0.615 1
La2 La 0.413 0.826 0.413 1
La3 La 0.413 0.826 0.087 1
La4 La 0.046 0.093 0.385 1
La5 La 0.609 0.219 0.250 1
La6 La 0.046 0.093 0.115 1
La7 La 0.587 0.174 0.587 1
La8 La 0.587 0.174 0.913 1
La9 La 0.954 0.907 0.885 1
La10 La 0.391 0.781 0.750 1
Sm1 Sm 0.771 0.542 0.750 1
Sm2 Sm 0.229 0.458 0.250 1
Pm1 Pm 0.786 0.572 0.416 1
Pm2 Pm 0.786 0.572 0.084 1
Pm3 Pm 0.214 0.428 0.584 1
Pm4 Pm 0.214 0.428 0.916 1
```

***

Entry 3:
A plane-wave DFT calculation with PBE was carried out for a relaxed TaWI2 crystal.

For the magnetic moment, the calculation gives 0.000 μB per formula unit. The space-group type is No. 225. As for the relative energy among the computed polymorphs: 0.053 eV per atom.

Structure (CIF):
```
data_TaWI2
_symmetry_space_group_name_H-M 'P 1'
_symmetry_Int_Tables_number 1
_cell_length_a 4.810
_cell_length_b 4.810
_cell_length_c 4.810
_cell_angle_alpha 60.00
_cell_angle_beta 60.00
_cell_angle_gamma 60.00
loop_
_symmetry_equiv_pos_as_xyz
'x,y,z'
loop_
_atom_site_label
_atom_site_type_symbol
_atom_site_fract_x
_atom_site_fract_y
_atom_site_fract_z
_atom_site_occupancy
I1 I 0.250 0.250 0.250 1
I2 I 0.750 0.750 0.750 1
Ta1 Ta 0.000 0.000 0.000 1
W1 W 0.500 0.500 0.500 1
```

***

Entry 4:
A plane-wave DFT calculation with PBE was carried out for a relaxed Y2ScTc crystal.

For the magnetic moment, the calculation gives 0.000 μB per formula unit. The space-group type is No. 160. As for the relative energy among the computed polymorphs: 0.249 eV per atom. Its formation energy is 0.143 eV/atom.

Structure (CIF):
```
data_Y2ScTc
_symmetry_space_group_name_H-M 'P 1'
_symmetry_Int_Tables_number 1
_cell_length_a 10.204
_cell_length_b 10.204
_cell_length_c 10.204
_cell_angle_alpha 19.12
_cell_angle_beta 19.12
_cell_angle_gamma 19.12
loop_
_symmetry_equiv_pos_as_xyz
'x,y,z'
loop_
_atom_site_label
_atom_site_type_symbol
_atom_site_fract_x
_atom_site_fract_y
_atom_site_fract_z
_atom_site_occupancy
Y1 Y 0.017 0.017 0.017 1
Y2 Y 0.247 0.247 0.247 1
Sc1 Sc 0.482 0.482 0.482 1
Tc1 Tc 0.754 0.754 0.754 1
```

***

Entry 5:
A plane-wave DFT calculation with PBE was carried out for a relaxed Ce2ErSi2Ni2 crystal.

The value obtained for the total energy is -6.222 eV per atom. For the magnetic moment, the calculation gives 0.341 μB per formula unit. The space-group type is No. 166.

Structure (CIF):
```
data_Ce2ErSi2Ni2
_symmetry_space_group_name_H-M 'P 1'
_symmetry_Int_Tables_number 1
_cell_length_a 4.100
_cell_length_b 4.100
_cell_length_c 9.218
_cell_angle_alpha 77.15
_cell_angle_beta 77.15
_cell_angle_gamma 60.00
loop_
_symmetry_equiv_pos_as_xyz
'x,y,z'
loop_
_atom_site_label
_atom_site_type_symbol
_atom_site_fract_x
_atom_site_fract_y
_atom_site_fract_z
_atom_site_occupancy
Ce1 Ce 0.864 0.864 0.408 1
Ce2 Ce 0.136 0.136 0.592 1
Si1 Si 0.264 0.264 0.208 1
Si2 Si 0.736 0.736 0.792 1
Ni1 Ni 0.402 0.402 0.793 1
Ni2 Ni 0.598 0.598 0.207 1
Er1 Er 0.000 0.000 0.000 1
```

***

Entry 6:
A plane-wave DFT calculation with PBE was carried out for a relaxed CuSiBr2 crystal.

For the magnetic moment, the calculation gives 0.901 μB per formula unit. The space-group type is No. 119. As for the relative energy among the computed polymorphs: 0.508 eV per atom.

Structure (CIF):
```
data_CuSiBr2
_symmetry_space_group_name_H-M 'P 1'
_symmetry_Int_Tables_number 1
_cell_length_a 7.889
_cell_length_b 7.889
_cell_length_c 7.889
_cell_angle_alpha 152.21
_cell_angle_beta 152.21
_cell_angle_gamma 39.71
loop_
_symmetry_equiv_pos_as_xyz
'x,y,z'
loop_
_atom_site_label
_atom_site_type_symbol
_atom_site_fract_x
_atom_site_fract_y
_atom_site_fract_z
_atom_site_occupancy
Si1 Si 0.750 0.250 0.500 1
Br1 Br 0.250 0.750 0.500 1
Br2 Br 0.000 0.000 0.000 1
Cu1 Cu 0.500 0.500 0.000 1
```

***

Entry 7:
A plane-wave DFT calculation with PBE was carried out for a relaxed CaSmAg4 crystal.

For the magnetic moment, the calculation gives 0.000 μB per formula unit. The space-group type is No. 216. As for the relative energy among the computed polymorphs: 0.065 eV per atom. Its formation energy is -0.196 eV/atom.

Structure (CIF):
```
data_CaSmAg4
_symmetry_space_group_name_H-M 'P 1'
_symmetry_Int_Tables_number 1
_cell_length_a 5.765
_cell_length_b 5.765
_cell_length_c 5.765
_cell_angle_alpha 60.00
_cell_angle_beta 60.00
_cell_angle_gamma 60.00
loop_
_symmetry_equiv_pos_as_xyz
'x,y,z'
loop_
_atom_site_label
_atom_site_type_symbol
_atom_site_fract_x
_atom_site_fract_y
_atom_site_fract_z
_atom_site_occupancy
Ag1 Ag 0.625 0.126 0.625 1
Ag2 Ag 0.625 0.625 0.126 1
Ag3 Ag 0.625 0.625 0.625 1
Ag4 Ag 0.126 0.625 0.625 1
Sm1 Sm 0.000 0.000 0.000 1
Ca1 Ca 0.250 0.250 0.250 1
```

***

Entry 8:
A plane-wave DFT calculation with PBE was carried out for a relaxed LiScAg2I6 crystal.

The value obtained for the total energy is -3.101 eV per atom. For the magnetic moment, the calculation gives 0.000 μB per formula unit. The space-group type is No. 146.

Structure (CIF):
```
data_LiScAg2I6
_symmetry_space_group_name_H-M 'P 1'
_symmetry_Int_Tables_number 1
_cell_length_a 7.593
_cell_length_b 7.593
_cell_length_c 8.191
_cell_angle_alpha 90.00
_cell_angle_beta 117.61
_cell_angle_gamma 120.01
loop_
_symmetry_equiv_pos_as_xyz
'x,y,z'
loop_
_atom_site_label
_atom_site_type_symbol
_atom_site_fract_x
_atom_site_fract_y
_atom_site_fract_z
_atom_site_occupancy
I1 I 0.131 0.255 0.726 1
I2 I 0.128 0.387 0.234 1
I3 I 0.861 0.740 0.234 1
I4 I 0.485 0.876 0.726 1
I5 I 0.864 0.608 0.725 1
I6 I 0.508 0.120 0.234 1
Sc1 Sc 0.997 0.498 0.480 1
Ag1 Ag 0.513 0.756 0.255 1
Ag2 Ag 0.482 0.240 0.708 1
Li1 Li 0.997 0.998 0.981 1
```